1.
Density functional theory data (PBE-GGA) for a relaxed ZnInNF2 crystal.

Computed properties:
- Space group: P4/mmm (123)
- Formation energy (no corrections): -295 kJ/mol of formula units
- Magnetization: 0.11 μB per formula unit
- E: -3.83 eV per atom

a b c (Å): 4.1985 4.1985 4.3464
angles (deg): 90.00 90.00 90.00
Last column: nearest neighbours and their distance in Å.
Atoms (fractional coordinates):
Zn 0.5000 0.5000 0.5000  4 N 2.97, 8 F 3.02
In 0.0000 0.0000 0.0000  4 F 2.10, 2 N 2.17
F 0.5000 0.0000 0.0000  2 In 2.10
F 0.0000 0.5000 0.0000  2 In 2.10
N 0.0000 0.0000 0.5000  2 In 2.17

***

2.
Density functional theory data (PBE-GGA) for a relaxed ZnInN2F crystal.

Computed properties:
- Space group: P4/mmm (123)
- Formation energy (no corrections): 242 kJ/mol of formula units
- Magnetization: 0.35 μB per formula unit
- E: -4.01 eV per atom

a b c (Å): 3.9279 3.9279 4.0302
angles (deg): 90.00 90.00 90.00
Last column: nearest neighbours and their distance in Å.
Atoms (fractional coordinates):
F 0.0000 0.0000 0.5000  2 Zn 2.02
In 0.5000 0.5000 0.5000  4 F 2.78, 8 N 2.81
Zn 0.0000 0.0000 0.0000  4 N 1.96, 2 F 2.02
N 0.5000 0.0000 0.0000  2 Zn 1.96
N 0.0000 0.5000 0.0000  2 Zn 1.96

***

3.
Density functional theory data (PBE-GGA) for a relaxed ZnInN2F crystal.

Computed properties:
- Space group: P4/mmm (123)
- Formation energy (no corrections): 349 kJ/mol of formula units
- Magnetization: 1.96 μB per formula unit
- E: -3.78 eV per atom

a b c (Å): 4.2840 4.2840 4.2234
angles (deg): 90.00 90.00 90.00
Last column: nearest neighbours and their distance in Å.
Atoms (fractional coordinates):
In 0.0000 0.0000 0.0000  2 F 2.11, 4 N 2.14
N 0.0000 0.5000 0.0000  2 In 2.14
N 0.5000 0.0000 0.0000  2 In 2.14
F 0.0000 0.0000 0.5000  2 In 2.11
Zn 0.5000 0.5000 0.5000  8 N 3.01, 4 F 3.03

***

4.
Density functional theory data (PBE-GGA) for a relaxed ZnInNF2 crystal.

Computed properties:
- Space group: P4/mmm (123)
- Formation energy (no corrections): -360 kJ/mol of formula units
- Magnetization: 0.00 μB per formula unit
- E: -3.96 eV per atom

a b c (Å): 3.8846 3.8846 4.3914
angles (deg): 90.00 90.00 90.00
Last column: nearest neighbours and their distance in Å.
Atoms (fractional coordinates):
N 0.0000 0.0000 0.5000  2 Zn 2.20
In 0.5000 0.5000 0.5000  4 N 2.75, 8 F 2.93
F 0.5000 0.0000 0.0000  2 Zn 1.94
F 0.0000 0.5000 0.0000  2 Zn 1.94
Zn 0.0000 0.0000 0.0000  4 F 1.94

***

Calculated density of states at the Fermi level in order - 0.3001; 0.4125; 0.5000; 0.3552 states/eV per atom